1.
Below is an optimized crystal structure of YErNO, with properties calculated at the PBE level.

Cell: 3.4039 3.4039 4.7990 Å, 90.00 90.00 90.00°
With the nearest neighbours (Å) after each atom.
Space group P4/mmm (No. 123)
One atom of each set of equivalent atoms:
1 Y 0.0000 0.0000 0.0000  2 O 2.40, 4 N 2.41
2 Er 0.5000 0.5000 0.5000  2 N 2.40, 4 O 2.41
3 N 0.5000 0.5000 0.0000  2 Er 2.40, 4 Y 2.41
4 O 0.0000 0.0000 0.5000  2 Y 2.40, 4 Er 2.41

=====

2.
Below is an optimized crystal structure of As2Pt2O5, with properties calculated at the PBE level.

Cell: 4.0721 4.0721 6.3131 Å, 90.00 90.00 90.00°
With the nearest neighbours (Å) after each atom.
Space group P4/mmm (No. 123)
One atom of each set of equivalent atoms:
1 As 0.0000 0.0000 0.2211  1 O 1.76
2 Pt 0.5000 0.5000 0.0000  8 O 2.47
3 Pt 0.5000 0.5000 0.5000  12 O 2.69-2.88
4 O 0.0000 0.0000 0.5000  2 As 1.76
5 O 0.0000 0.5000 0.2215  2 As 2.04

=====

| no. | energy above the most stable polymorph in this dataset (meV/atom) | M_tot (Bohr magnetons per cell) |
| --- | --- | --- |
| 1 | 0 | 0.0 |
| 2 | 0 | 0.3 |